No. 1
A plane-wave DFT calculation with PBE was carried out for a geometry-optimized Mg6FeMo structure.

mass density = 3.284 g cm⁻³
formation energy from the elements = 308 meV per atom
total DFT energy (no corrections) = -0.12126 hartree per atom
energy relative to the lowest polymorph listed for this composition = 0.0581 eV/atom

Unit cell a=4.8031 b=6.1191 c=6.1191 alpha=56.80 beta=90.00 gamma=90.00
Last column: nearest neighbours and their distance in Å.
Fractional coordinates of all 8 atoms:
Mg 0.0000 0.0000 0.0000  2 Mo 2.87, 10 Mg 2.91-3.20
Mg 0.0000 0.0090 0.5174  7 Mg 2.86-3.20, 2 Mo 2.96, 2 Fe 2.96
Mg 0.0000 0.4916 0.4916  2 Fe 2.86, 8 Mg 2.87-3.05
Mg 0.0000 0.5174 0.0090  7 Mg 2.86-3.20, 2 Mo 2.96, 2 Fe 2.96
Mg 0.5000 0.3519 0.8519  8 Mg 2.91-3.05, 2 Fe 3.01-3.11, 2 Mo 3.04-3.08
Mg 0.5000 0.8519 0.3519  8 Mg 2.91-3.05, 2 Fe 3.01-3.11, 2 Mo 3.04-3.08
Fe 0.5000 0.3470 0.3470  10 Mg 2.86-3.11, 2 Mo 2.91
Mo 0.5000 0.8538 0.8538  10 Mg 2.87-3.08, 2 Fe 2.91

***

No. 2
A plane-wave DFT calculation with PBE was carried out for a geometry-optimized SrAlOs2 structure.

mass density = 10.613 g cm⁻³
formation energy from the elements = 487 meV per atom
total DFT energy (no corrections) = -0.23829 hartree per atom

Unit cell a=2.9158 b=4.1857 c=6.5039 alpha=90.00 beta=102.61 gamma=90.00
Last column: nearest neighbours and their distance in Å.
Fractional coordinates of all 4 atoms:
Sr 0.0000 0.0000 0.0000  2 Sr 2.92, 4 Os 3.23, 2 Al 3.26
Al 0.5000 0.0000 0.5000  4 Os 2.51
Os 0.2980 0.5000 0.6740  2 Al 2.51, 2 Os 2.53-2.77
Os 0.7020 0.5000 0.3260  2 Al 2.51, 2 Os 2.53-2.77

***

No. 3
A plane-wave DFT calculation with PBE was carried out for a geometry-optimized LiAlSi2Se6 structure.

mass density = 3.527 g cm⁻³
total DFT energy (no corrections) = -0.15854 hartree per atom

Unit cell a=9.3615 b=9.3615 c=6.7650 alpha=108.76 beta=108.76 gamma=86.51
Last column: nearest neighbours and their distance in Å.
Fractional coordinates of all 20 atoms:
Li 0.2104 0.7896 0.7500  4 Se 2.57-2.67
Li 0.7896 0.2104 0.2500  4 Se 2.57-2.67
Al 0.1972 0.8028 0.2500  4 Se 2.42-2.46
Al 0.8028 0.1972 0.7500  4 Se 2.42-2.46
Si 0.2028 0.3674 0.7927  4 Se 2.29-2.34
Si 0.3674 0.2028 0.2927  4 Se 2.29-2.34
Si 0.6326 0.7972 0.7073  4 Se 2.29-2.34
Si 0.7972 0.6326 0.2073  4 Se 2.29-2.34
Se 0.0119 0.1853 0.6005  1 Si 2.29, 1 Al 2.46
Se 0.1125 0.6067 0.8961  1 Si 2.32, 1 Al 2.42, 1 Li 2.57
Se 0.1853 0.0119 0.1005  1 Si 2.29, 1 Al 2.46
Se 0.3035 0.4094 0.5401  2 Si 2.31-2.34
Se 0.3933 0.8875 0.6039  1 Si 2.32, 1 Al 2.42, 1 Li 2.57
Se 0.4094 0.3035 0.0401  2 Si 2.31-2.34
Se 0.5906 0.6965 0.9599  2 Si 2.31-2.34
Se 0.6067 0.1125 0.3961  1 Si 2.32, 1 Al 2.42, 1 Li 2.57
Se 0.6965 0.5906 0.4599  2 Si 2.31-2.34
Se 0.8147 0.9881 0.8995  1 Si 2.29, 1 Al 2.46
Se 0.8875 0.3933 0.1039  1 Si 2.32, 1 Al 2.42, 1 Li 2.57
Se 0.9881 0.8147 0.3995  1 Si 2.29, 1 Al 2.46

***

No. 4
A plane-wave DFT calculation with PBE was carried out for a geometry-optimized CdFeI2N structure.

mass density = 6.682 g cm⁻³
total DFT energy (no corrections) = -0.14129 hartree per atom
energy relative to the lowest polymorph listed for this composition = 0.0000 eV/atom

Unit cell a=5.5201 b=5.5201 c=3.5564 alpha=90.00 beta=90.00 gamma=90.00
Last column: nearest neighbours and their distance in Å.
Fractional coordinates of all 5 atoms:
Cd 0.0000 0.0000 0.0000  8 I 3.28, 2 Cd 3.56
Fe 0.5000 0.5000 0.5000  2 N 1.78
I 0.0000 0.5000 0.5000  2 Fe 2.76
I 0.5000 0.0000 0.5000  2 Fe 2.76
N 0.5000 0.5000 0.0000  2 Fe 1.78

***

No. 5
A plane-wave DFT calculation with PBE was carried out for a geometry-optimized Ba2SrGe6 structure.

mass density = 4.732 g cm⁻³
formation energy from the elements = -436 meV per atom
total DFT energy (no corrections) = -0.15172 hartree per atom
energy relative to the lowest polymorph listed for this composition = 0.0000 eV/atom

Unit cell a=9.2718 b=9.2718 c=9.2718 alpha=150.15 beta=134.73 gamma=55.17
Last column: nearest neighbours and their distance in Å.
Fractional coordinates of all 9 atoms:
Ba 0.1735 0.1735 0.0000  6 Ge 3.40
Ba 0.8265 0.8265 0.0000  6 Ge 3.40
Sr 0.5000 0.0000 0.5000  12 Ge 3.34-3.48
Ge 0.1731 0.5000 0.6731  3 Ge 2.46-2.47
Ge 0.1919 0.3661 0.8258  2 Ge 2.46-2.49
Ge 0.4598 0.6339 0.8258  2 Ge 2.46-2.49
Ge 0.5402 0.3661 0.1742  2 Ge 2.46-2.49
Ge 0.8081 0.6339 0.1742  2 Ge 2.46-2.49
Ge 0.8269 0.5000 0.3269  3 Ge 2.46-2.47

***

No. 6
A plane-wave DFT calculation with PBE was carried out for a geometry-optimized Nb3Ni3Rh2 structure.

mass density = 9.530 g cm⁻³
formation energy from the elements = -288 meV per atom
total DFT energy (no corrections) = -0.29658 hartree per atom

Unit cell a=3.8206 b=3.8323 c=7.8610 alpha=90.00 beta=90.00 gamma=90.00
Last column: nearest neighbours and their distance in Å.
Fractional coordinates of all 8 atoms:
Nb 0.0000 0.0000 0.0000  4 Ni 2.71, 4 Nb 2.80, 4 Rh 2.83
Nb 0.5000 0.0000 0.2611  6 Ni 2.68-2.81, 4 Rh 2.71, 2 Nb 2.80
Nb 0.5000 0.0000 0.7389  6 Ni 2.68-2.81, 4 Rh 2.71, 2 Nb 2.80
Ni 0.0000 0.0000 0.5000  4 Rh 2.66, 4 Nb 2.68, 4 Ni 2.71
Ni 0.5000 0.5000 0.0000  8 Nb 2.71-2.81, 4 Rh 2.82
Ni 0.5000 0.5000 0.5000  4 Rh 2.66, 4 Nb 2.68, 4 Ni 2.71
Rh 0.0000 0.5000 0.2646  6 Ni 2.66-2.82, 6 Nb 2.71-2.83
Rh 0.0000 0.5000 0.7354  6 Ni 2.66-2.82, 6 Nb 2.71-2.83

***

No. 7
A plane-wave DFT calculation with PBE was carried out for a geometry-optimized UCoSnRh structure.

mass density = 11.984 g cm⁻³
formation energy from the elements = -254 meV per atom
total DFT energy (no corrections) = -0.28263 hartree per atom

Unit cell a=4.6665 b=4.6665 c=4.6665 alpha=60.00 beta=60.00 gamma=60.00
Last column: nearest neighbours and their distance in Å.
Fractional coordinates of all 4 atoms:
U 0.0000 0.0000 0.0000  4 Co 2.86, 4 Rh 2.86
Co 0.7500 0.7500 0.7500  4 U 2.86, 4 Sn 2.86
Sn 0.5000 0.5000 0.5000  4 Co 2.86, 4 Rh 2.86
Rh 0.2500 0.2500 0.2500  4 Sn 2.86, 4 U 2.86

***

No. 8
A plane-wave DFT calculation with PBE was carried out for a geometry-optimized Tb2MgZn7 structure.

mass density = 6.979 g cm⁻³
formation energy from the elements = -282 meV per atom
total DFT energy (no corrections) = -0.08303 hartree per atom

Unit cell a=4.1240 b=4.1240 c=11.1917 alpha=90.00 beta=90.00 gamma=90.00
Last column: nearest neighbours and their distance in Å.
Fractional coordinates of all 10 atoms:
Tb 0.0000 0.5000 0.2338  12 Zn 3.13-3.33
Tb 0.5000 0.0000 0.7662  12 Zn 3.13-3.33
Mg 0.0000 0.0000 0.5000  8 Zn 2.66-2.92
Zn 0.0000 0.0000 0.0000  4 Zn 2.53
Zn 0.0000 0.5000 0.6499  3 Zn 2.45-2.66, 2 Mg 2.66
Zn 0.0000 0.5000 0.8690  5 Zn 2.45-2.53
Zn 0.5000 0.0000 0.1310  5 Zn 2.45-2.53
Zn 0.5000 0.0000 0.3501  3 Zn 2.45-2.66, 2 Mg 2.66
Zn 0.5000 0.5000 0.0000  4 Zn 2.53
Zn 0.5000 0.5000 0.5000  4 Zn 2.66, 4 Mg 2.92

***

Look up the total DFT energy (no corrections) of the sixth one. -0.29658 hartree per atom